1.
# Sr2SeI

A geometry-optimized Sr2SeI structure (PBE, Alexandria).

* energy relative to the elements, uncorrected: -5.5 eV/f.u.
* N(E_F): 0.6360 states/eV per atom

Cell lengths 7.367, 7.367, 14.246 Å; angles 90.00, 90.00, 90.00 degrees
Space group I-42d (No. 122)
Unique sites:
Sr: 0.205 0.250 0.125
Se: 0.000 0.000 0.000
I: 0.000 0.000 0.500

=====

2.
# ReSe2Br

A geometry-optimized ReSe2Br structure (PBE, Alexandria).

* energy relative to the elements, uncorrected: 0.7 eV/f.u.
* N(E_F): 0.6203 states/eV per atom

Cell lengths 2.721, 3.265, 10.587 Å; angles 90.00, 90.69, 90.00 degrees
Space group P2/m (No. 10)
Unique sites:
Re: 0.000 0.000 0.000
Se: 0.009 0.500 0.182
Br: 0.500 0.000 0.500